Record 1
The following is a DFT calculation (PBE) of crystalline Pa2AlB2Os5 at its relaxed geometry.

Results
SG: P4/mbm, No. 127
formation enthalpy at 0 K: -0.48 eV/atom

Lattice parameters (Å, degrees): 9.715 9.715 3.128 90.00 90.00 90.00
Positions (direct):
Pa1 0.178 0.322 0.000
Pa2 0.322 0.822 0.000
Pa3 0.678 0.178 0.000
Pa4 0.822 0.678 0.000
Al1 0.000 0.000 0.000
Al2 0.500 0.500 0.000
B1 0.122 0.622 0.000
B2 0.378 0.122 0.000
B3 0.622 0.878 0.000
B4 0.878 0.378 0.000
Os1 0.000 0.500 0.500
Os2 0.069 0.782 0.500
Os3 0.218 0.069 0.500
Os4 0.282 0.569 0.500
Os5 0.431 0.282 0.500
Os6 0.500 0.000 0.500
Os7 0.569 0.718 0.500
Os8 0.718 0.431 0.500
Os9 0.782 0.931 0.500
Os10 0.931 0.218 0.500

=====

Record 2
The following is a DFT calculation (PBE) of crystalline Sm6GaCo2Br3 at its relaxed geometry.

Results
SG: C2/m, No. 12
ΔE_f (raw): -74.5 kJ per mole of atoms

Lattice parameters (Å, degrees): 9.884 9.884 9.032 109.41 109.41 23.22
Positions (direct):
Sm1 0.025 0.025 0.253
Sm2 0.318 0.318 0.438
Sm3 0.338 0.338 0.867
Sm4 0.662 0.662 0.133
Sm5 0.682 0.682 0.562
Sm6 0.975 0.975 0.747
Ga1 0.500 0.500 0.000
Co1 0.171 0.171 0.346
Co2 0.829 0.829 0.654
Br1 0.164 0.164 0.841
Br2 0.500 0.500 0.500
Br3 0.836 0.836 0.159